Record 1
The following is a DFT calculation (PBE) of an optimized crystal structure of SrAlAs2. Values from VASP.

Output
For the density of states at the Fermi level, the calculation gives 1.85 states/eV/f.u. Its formation energy is -25 kJ/mol of atoms. The value obtained for the energy is -3.9382 eV/atom.

Geometry as Quantum ESPRESSO input:
```
&SYSTEM
  ibrav = 0, nat = 4, ntyp = 3
/
ATOMIC_SPECIES
Sr 87.62 Sr.upf
As 74.92 As.upf
Al 26.98 Al.upf
CELL_PARAMETERS angstrom
5.431 0.013 -0.046
1.540 5.208 0.046
-3.455 -2.651 3.246
ATOMIC_POSITIONS crystal
Sr 0.750 0.250 0.500
As 0.000 0.000 0.000
As 0.500 0.500 0.000
Al 0.250 0.750 0.500
```

***

Record 2
The following is a DFT calculation (PBE) of an optimized crystal structure of La4ReBr. Values from VASP.

Output
As for the formation energy without anion corrections: 749 meV/atom. For the density of states at the Fermi level, the calculation gives 8.73 states/eV/f.u. The value obtained for the energy is -4.8893 eV/atom.

Geometry as Quantum ESPRESSO input:
```
&SYSTEM
  ibrav = 0, nat = 6, ntyp = 3
/
ATOMIC_SPECIES
La 138.91 La.upf
Re 186.21 Re.upf
Br 79.90 Br.upf
CELL_PARAMETERS angstrom
0.000 4.433 4.433
4.433 0.000 4.433
4.433 4.433 0.000
ATOMIC_POSITIONS crystal
La 0.870 0.377 0.377
La 0.377 0.377 0.870
La 0.377 0.870 0.377
La 0.377 0.377 0.377
Re 0.750 0.750 0.750
Br 0.000 0.000 0.000
```

***

Record 3
The following is a DFT calculation (PBE) of an optimized crystal structure of LaTi. Values from VASP.

Output
The calculation puts the energy relative to the lowest polymorph listed for this composition at 0 meV/atom. For the density of states at the Fermi level, the calculation gives 3.36 states/eV/f.u. Its formation energy is 19 kJ/mol of atoms. The value obtained for the energy is -6.2104 eV/atom.

Geometry as Quantum ESPRESSO input:
```
&SYSTEM
  ibrav = 0, nat = 16, ntyp = 2
/
ATOMIC_SPECIES
La 138.91 La.upf
Ti 47.87 Ti.upf
CELL_PARAMETERS angstrom
10.849 0.000 0.000
0.000 10.849 0.000
0.000 0.000 3.616
ATOMIC_POSITIONS crystal
La 0.148 0.845 0.000
La 0.852 0.155 0.000
La 0.155 0.148 0.000
La 0.845 0.852 0.000
La 0.648 0.345 0.500
La 0.352 0.655 0.500
La 0.655 0.648 0.500
La 0.345 0.352 0.500
Ti 0.479 0.130 0.000
Ti 0.521 0.870 0.000
Ti 0.870 0.479 0.000
Ti 0.130 0.521 0.000
Ti 0.979 0.630 0.500
Ti 0.021 0.370 0.500
Ti 0.370 0.979 0.500
Ti 0.630 0.021 0.500
```

***

Record 4
The following is a DFT calculation (PBE) of an optimized crystal structure of ZnCu2GeS4. Values from VASP.

Output
As for the formation energy without anion corrections: -449 meV/atom. The value obtained for the energy is -4.2731 eV/atom.

Geometry as Quantum ESPRESSO input:
```
&SYSTEM
  ibrav = 0, nat = 16, ntyp = 4
/
ATOMIC_SPECIES
Zn 65.41 Zn.upf
Cu 63.55 Cu.upf
Ge 72.64 Ge.upf
S 32.06 S.upf
CELL_PARAMETERS angstrom
6.223 0.000 0.000
0.000 6.543 0.000
0.000 0.000 7.499
ATOMIC_POSITIONS crystal
Zn 0.999 0.157 0.500
Zn 0.499 0.843 0.000
Cu 0.507 0.328 0.749
Cu 0.507 0.328 0.251
Cu 0.007 0.672 0.751
Cu 0.007 0.672 0.249
Ge 0.499 0.833 0.500
Ge 0.999 0.167 0.000
S 0.866 0.821 0.500
S 0.366 0.179 0.000
S 0.380 0.160 0.500
S 0.880 0.840 0.000
S 0.876 0.339 0.756
S 0.876 0.339 0.244
S 0.376 0.661 0.744
S 0.376 0.661 0.256
```

***

Record 5
The following is a DFT calculation (PBE) of an optimized crystal structure of ScTa2C3. Values from VASP.

Output
For the density of states at the Fermi level, the calculation gives 2.17 states/eV/f.u. Its formation energy is -66 kJ/mol of atoms. The value obtained for the energy is -10.3021 eV/atom.

Geometry as Quantum ESPRESSO input:
```
&SYSTEM
  ibrav = 0, nat = 6, ntyp = 3
/
ATOMIC_SPECIES
Sc 44.96 Sc.upf
Ta 180.95 Ta.upf
C 12.01 C.upf
CELL_PARAMETERS angstrom
3.055 0.000 -0.925
-0.558 4.075 -1.845
0.008 0.014 5.536
ATOMIC_POSITIONS crystal
Sc 0.500 0.500 0.500
Ta 0.835 0.835 0.170
Ta 0.165 0.165 0.830
C 0.828 0.328 0.156
C 0.172 0.672 0.844
C 0.500 0.000 0.500
```

***

Record 6
The following is a DFT calculation (PBE) of an optimized crystal structure of Tl3Cd3PdRh2. Values from VASP.

Output
For the density of states at the Fermi level, the calculation gives 4.15 states/eV/f.u. Its formation energy is 0 kJ/mol of atoms. The value obtained for the energy is -3.3046 eV/atom.

Geometry as Quantum ESPRESSO input:
```
&SYSTEM
  ibrav = 0, nat = 9, ntyp = 4
/
ATOMIC_SPECIES
Tl 204.38 Tl.upf
Cd 112.41 Cd.upf
Pd 106.42 Pd.upf
Rh 102.91 Rh.upf
CELL_PARAMETERS angstrom
3.887 0.000 0.000
0.000 7.423 0.000
0.000 -3.711 6.428
ATOMIC_POSITIONS crystal
Tl 0.000 0.590 0.590
Tl 0.000 0.000 0.410
Tl 0.000 0.410 0.000
Cd 0.500 0.739 0.000
Cd 0.500 0.000 0.739
Cd 0.500 0.261 0.261
Pd 0.000 0.000 0.000
Rh 0.500 0.667 0.333
Rh 0.500 0.333 0.667
```

***

Record 7
The following is a DFT calculation (PBE) of an optimized crystal structure of Er2Be3GaIr4. Values from VASP.

Output
For the density of states at the Fermi level, the calculation gives 2.57 states/eV/f.u. Its formation energy is -66 kJ/mol of atoms. The value obtained for the energy is -6.5596 eV/atom.

Geometry as Quantum ESPRESSO input:
```
&SYSTEM
  ibrav = 0, nat = 10, ntyp = 4
/
ATOMIC_SPECIES
Er 167.26 Er.upf
Be 9.01 Be.upf
Ga 69.72 Ga.upf
Ir 192.22 Ir.upf
CELL_PARAMETERS angstrom
4.074 0.000 0.000
0.000 4.074 0.000
0.000 0.000 9.398
ATOMIC_POSITIONS crystal
Er 0.500 0.000 0.232
Er 0.000 0.500 0.768
Be 0.000 0.000 0.500
Be 0.500 0.000 0.889
Be 0.000 0.500 0.111
Ga 0.500 0.500 0.500
Ir 0.500 0.500 0.000
Ir 0.000 0.000 0.000
Ir 0.500 0.000 0.645
Ir 0.000 0.500 0.355
```

***

Record 8
The following is a DFT calculation (PBE) of an optimized crystal structure of IrRuAu2. Values from VASP.

Output
The calculation puts the energy relative to the lowest polymorph listed for this composition at 94 meV/atom. For the density of states at the Fermi level, the calculation gives 3.43 states/eV/f.u. Its formation energy is 25 kJ/mol of atoms. The value obtained for the energy is -5.9126 eV/atom.

Geometry as Quantum ESPRESSO input:
```
&SYSTEM
  ibrav = 0, nat = 4, ntyp = 3
/
ATOMIC_SPECIES
Au 196.97 Au.upf
Ir 192.22 Ir.upf
Ru 101.07 Ru.upf
CELL_PARAMETERS angstrom
3.757 0.000 0.000
0.000 2.802 -0.010
0.000 2.811 6.226
ATOMIC_POSITIONS crystal
Au 0.000 0.009 0.991
Au 0.500 0.241 0.258
Ir 0.000 0.465 0.535
Ru 0.500 0.785 0.716
```

***

Record 9
The following is a DFT calculation (PBE) of an optimized crystal structure of LiPmSc4S8. Values from VASP.

Output
As for the formation energy without anion corrections: -1832 meV/atom. For the density of states at the Fermi level, the calculation gives 0.00 states/eV/f.u. The value obtained for the energy is -6.4752 eV/atom.

Geometry as Quantum ESPRESSO input:
```
&SYSTEM
  ibrav = 0, nat = 14, ntyp = 4
/
ATOMIC_SPECIES
Li 6.94 Li.upf
Pm 145.00 Pm.upf
Sc 44.96 Sc.upf
S 32.06 S.upf
CELL_PARAMETERS angstrom
-3.411 0.622 6.773
2.714 -3.824 5.992
3.576 3.922 5.714
ATOMIC_POSITIONS crystal
Li 0.374 0.374 0.878
Pm 0.003 0.003 0.992
Sc 0.628 0.628 0.117
Sc 0.006 0.483 0.506
Sc 0.483 0.006 0.506
Sc 0.006 0.006 0.506
S 0.254 0.769 0.723
S 0.769 0.254 0.723
S 0.254 0.254 0.723
S 0.241 0.241 0.278
S 0.745 0.235 0.275
S 0.235 0.745 0.275
S 0.745 0.745 0.275
S 0.759 0.759 0.724
```

***

Record 10
The following is a DFT calculation (PBE) of an optimized crystal structure of Sr2Ga4Ir5. Values from VASP.

Output
For the density of states at the Fermi level, the calculation gives 7.44 states/eV/f.u. Its formation energy is -46 kJ/mol of atoms. The value obtained for the energy is -5.9116 eV/atom.

Geometry as Quantum ESPRESSO input:
```
&SYSTEM
  ibrav = 0, nat = 11, ntyp = 3
/
ATOMIC_SPECIES
Sr 87.62 Sr.upf
Ga 69.72 Ga.upf
Ir 192.22 Ir.upf
CELL_PARAMETERS angstrom
-2.001 5.315 -0.963
-3.015 1.130 -4.722
-7.364 0.923 3.166
ATOMIC_POSITIONS crystal
Sr 0.873 0.000 0.254
Sr 0.127 0.000 0.746
Ga 0.469 0.322 0.740
Ga 0.531 0.678 0.260
Ga 0.209 0.322 0.260
Ga 0.791 0.678 0.740
Ir 0.500 0.000 0.000
Ir 0.000 0.500 0.000
Ir 0.500 0.500 0.000
Ir 0.250 0.500 0.500
Ir 0.750 0.500 0.500
```

***

| no. | V (Å³ per cell) |
| --- | --- |
| 1 | 91.8 |
| 2 | 174.3 |
| 3 | 425.5 |
| 4 | 305.3 |
| 5 | 69.0 |
| 6 | 185.5 |
| 7 | 156.0 |
| 8 | 65.7 |
| 9 | 323.1 |
| 10 | 214.3 |